# 1
## Rb2ScPO (PBE)

Data for a geometry-optimized Rb2ScPO structure.

Lattice parameters (Å, degrees): 7.222 3.565 7.222 90.00 90.00 90.00
Positions (direct):
1 Sc 0.500 0.500 0.500
2 Rb 0.500 0.000 0.000
3 Rb 0.000 0.000 0.500
4 O 0.000 0.500 0.000
5 P 0.000 0.000 0.000

Computed properties:
Formation energy without anion corrections   0.262 eV per atom
Space-group type   P4/mmm
Spin magnetization   1.56 μB/cell

# 2
## RbP2SeO (PBE)

Data for a geometry-optimized RbP2SeO structure.

Lattice parameters (Å, degrees): 5.065 5.065 4.253 90.00 90.00 90.00
Positions (direct):
1 O 0.000 0.000 0.500
2 P 0.000 0.500 0.000
3 P 0.500 0.000 0.000
4 Se 0.000 0.000 0.000
5 Rb 0.500 0.500 0.500

Computed properties:
Formation energy without anion corrections   0.448 eV per atom
Space-group type   P4/mmm
Spin magnetization   1.99 μB/cell
Energy above the lowest structure with this stoichiometry   0 meV/atom